# 1
# Tm4TlPd7, optimized geometry, DFT PBE
data_Tm4TlPd7
_chemical_formula_sum 'Tm8 Tl2 Pd14'
_space_group_name_H-M_alt 'C 1 2/m 1'
_space_group_IT_number 12
_cell_length_a 10.8280
_cell_length_b 5.1929
_cell_length_c 10.2941
_cell_angle_alpha 90.00
_cell_angle_beta 119.75
_cell_angle_gamma 90.00
loop_
_space_group_symop_operation_xyz
'x,y,z'
'-x,-y,-z'
'-x,y,-z'
'x,-y,z'
'x+1/2,y+1/2,z'
'-x+1/2,-y+1/2,-z'
'-x+1/2,y+1/2,-z'
'x+1/2,-y+1/2,z'
loop_
_atom_site_label
_atom_site_type_symbol
_atom_site_fract_x
_atom_site_fract_y
_atom_site_fract_z
Tm1 Tm 0.0916 0.0000 0.2838
Tm2 Tm 0.2130 0.5000 0.1359
Tl1 Tl 0.0000 0.5000 0.5000
Pd1 Pd 0.0000 0.0000 0.5000
Pd2 Pd 0.0738 0.5000 0.8193
Pd3 Pd 0.1337 0.0000 0.0228
Pd4 Pd 0.2125 0.5000 0.4062
# Magnetization   0.0 μB/f.u.
# VASP energy   -5.387 eV per atom
# D(E_F)   10.4 states/eV/cell

# 2
# Zn2InP, optimized geometry, DFT PBE
data_Zn2InP
_chemical_formula_sum 'Zn4 In2 P2'
_space_group_name_H-M_alt 'I m m m'
_space_group_IT_number 71
_space_group_name_Hall '-I 2 2'
_cell_length_a 3.6648
_cell_length_b 5.1892
_cell_length_c 8.0400
_cell_angle_alpha 90.00
_cell_angle_beta 90.00
_cell_angle_gamma 90.00
loop_
_atom_site_label
_atom_site_type_symbol
_atom_site_fract_x
_atom_site_fract_y
_atom_site_fract_z
Zn1 Zn 0.0000 0.0000 0.2163
In1 In 0.0000 0.5000 0.0000
P1 P 0.0000 0.5000 0.5000
# Magnetization   0.0 μB/f.u.
# VASP energy   -2.474 eV per atom
# D(E_F)   2.4 states/eV/cell

# 3
# La6C2NO3, optimized geometry, DFT PBE
data_La6C2NO3
_chemical_formula_sum 'La12 C4 N2 O6'
_space_group_name_H-M_alt 'C 1 2/m 1'
_space_group_IT_number 12
_cell_length_a 6.5254
_cell_length_b 11.3119
_cell_length_c 6.4826
_cell_angle_alpha 90.00
_cell_angle_beta 109.63
_cell_angle_gamma 90.00
loop_
_space_group_symop_operation_xyz
'x,y,z'
'-x,-y,-z'
'-x,y,-z'
'x,-y,z'
'x+1/2,y+1/2,z'
'-x+1/2,-y+1/2,-z'
'-x+1/2,y+1/2,-z'
'x+1/2,-y+1/2,z'
loop_
_atom_site_label
_atom_site_type_symbol
_atom_site_fract_x
_atom_site_fract_y
_atom_site_fract_z
La1 La 0.2479 0.1656 0.2468
La2 La 0.2498 0.0000 0.7555
C1 C 0.0000 0.3346 0.0000
N1 N 0.0000 0.0000 0.0000
O1 O 0.0000 0.1714 0.5000
O2 O 0.0000 0.5000 0.5000
# Magnetization   0.0 μB/f.u.
# ΔE_f (raw)   -1.70 eV/atom
# D(E_F)   6.3 states/eV/cell

Number 1 is which compound?
Tm4TlPd7

Which value of magnetization does entry 3 give?
0.0 μB/f.u.

Copy entry 1 word for word.
# Tm4TlPd7, optimized geometry, DFT PBE
data_Tm4TlPd7
_chemical_formula_sum 'Tm8 Tl2 Pd14'
_space_group_name_H-M_alt 'C 1 2/m 1'
_space_group_IT_number 12
_cell_length_a 10.8280
_cell_length_b 5.1929
_cell_length_c 10.2941
_cell_angle_alpha 90.00
_cell_angle_beta 119.75
_cell_angle_gamma 90.00
loop_
_space_group_symop_operation_xyz
'x,y,z'
'-x,-y,-z'
'-x,y,-z'
'x,-y,z'
'x+1/2,y+1/2,z'
'-x+1/2,-y+1/2,-z'
'-x+1/2,y+1/2,-z'
'x+1/2,-y+1/2,z'
loop_
_atom_site_label
_atom_site_type_symbol
_atom_site_fract_x
_atom_site_fract_y
_atom_site_fract_z
Tm1 Tm 0.0916 0.0000 0.2838
Tm2 Tm 0.2130 0.5000 0.1359
Tl1 Tl 0.0000 0.5000 0.5000
Pd1 Pd 0.0000 0.0000 0.5000
Pd2 Pd 0.0738 0.5000 0.8193
Pd3 Pd 0.1337 0.0000 0.0228
Pd4 Pd 0.2125 0.5000 0.4062
# Magnetization   0.0 μB/f.u.
# VASP energy   -5.387 eV per atom
# D(E_F)   10.4 states/eV/cell